VASP calculation (PBE) on La8InGa2 after structural relaxation.

Cell: 5.071 8.936 15.259 Å, 90.00 90.00 90.00°
Space group Immm (No. 71)
One atom of each set of equivalent atoms:
La 0.000 0.000 0.150 (multiplicity 4)
La 0.000 0.221 0.342 (multiplicity 8)
La 0.000 0.329 0.000 (multiplicity 4)
In 0.000 0.500 0.500 (multiplicity 2)
Ga 0.000 0.500 0.195 (multiplicity 4)

Results
VASP energy, eV per atom: -4.66